No. 1
Compound: NaPrInGa
Source: Alexandria via LeMat-Bulk
Functional: PBE-GGA
Structure: relaxed

**Magnetic moment**: 0.000 μB per atom
**DOS at the Fermi energy**: 1.68 states/eV/cell
**Space group**: F-43m (216)
**ΔE_f**: -286 meV/atom
**Total DFT energy (no corrections)**: -3.25 eV per atom

a b c (Å): 5.2866 5.2866 5.2866
angles (deg): 60.00 60.00 60.00
With the nearest neighbours (Å) after each atom.
Atoms (fractional coordinates):
Pr1 0.0000 0.0000 0.0000  4 In 3.24, 4 Ga 3.24
In1 0.2500 0.2500 0.2500  4 Na 3.24, 4 Pr 3.24
Ga1 0.7500 0.7500 0.7500  4 Pr 3.24, 4 Na 3.24
Na1 0.5000 0.5000 0.5000  4 In 3.24, 4 Ga 3.24

=====

No. 2
Compound: Y3BiPd12
Source: Alexandria via LeMat-Bulk
Functional: PBE-GGA
Structure: relaxed

**Magnetic moment**: 0.000 μB per atom
**DOS at the Fermi energy**: 6.93 states/eV/cell
**Space group**: P4/mmm (123)
**ΔE_f**: -702 meV/atom
**Total DFT energy (no corrections)**: -6.05 eV per atom

a b c (Å): 4.1351 4.1351 16.5311
angles (deg): 90.00 90.00 90.00
With the nearest neighbours (Å) after each atom.
Atoms (fractional coordinates):
Bi1 0.0000 0.0000 0.0000  12 Pd 2.91-2.92
Pd1 0.0000 0.5000 0.6252  4 Y 2.89-2.93, 8 Pd 2.92-2.96
Pd2 0.5000 0.5000 0.2469  8 Pd 2.90-2.96, 4 Y 2.93
Pd3 0.5000 0.0000 0.1238  8 Pd 2.90-2.92, 2 Bi 2.91, 2 Y 2.97
Pd4 0.5000 0.5000 0.0000  8 Pd 2.91, 4 Bi 2.92
Pd5 0.5000 0.0000 0.8762  8 Pd 2.90-2.92, 2 Bi 2.91, 2 Y 2.97
Pd6 0.5000 0.0000 0.3748  4 Y 2.89-2.93, 8 Pd 2.92-2.96
Pd7 0.0000 0.5000 0.3748  4 Y 2.89-2.93, 8 Pd 2.92-2.96
Pd8 0.5000 0.5000 0.5000  4 Y 2.92, 8 Pd 2.93
Pd9 0.0000 0.5000 0.1238  8 Pd 2.90-2.92, 2 Bi 2.91, 2 Y 2.97
Pd10 0.5000 0.0000 0.6252  4 Y 2.89-2.93, 8 Pd 2.92-2.96
Pd11 0.0000 0.5000 0.8762  8 Pd 2.90-2.92, 2 Bi 2.91, 2 Y 2.97
Pd12 0.5000 0.5000 0.7531  8 Pd 2.90-2.96, 4 Y 2.93
Y1 0.0000 0.0000 0.5000  12 Pd 2.92-2.93
Y2 0.0000 0.0000 0.2528  12 Pd 2.89-2.97
Y3 0.0000 0.0000 0.7472  12 Pd 2.89-2.97

=====

No. 3
Compound: ErTh2Ta
Source: Alexandria via LeMat-Bulk
Functional: PBE-GGA
Structure: relaxed

**Magnetic moment**: 0.000 μB per atom
**DOS at the Fermi energy**: 5.24 states/eV/cell
**Space group**: R-3m (166)
**ΔE_f**: 611 meV/atom
**Total DFT energy (no corrections)**: -7.20 eV per atom

a b c (Å): 3.3034 3.3034 12.1613
angles (deg): 82.19 82.19 60.00
With the nearest neighbours (Å) after each atom.
Atoms (fractional coordinates):
Ta1 0.0000 0.0000 0.0000  2 Th 2.93
Th1 0.9186 0.9186 0.2442  1 Ta 2.93
Th2 0.0814 0.0814 0.7558  1 Ta 2.93
Er1 0.5000 0.5000 0.5000  6 Er 3.30, 6 Th 3.62